(1)
This record from Alexandria describes a geometry-optimized YHgBr6 structure. The functional is PBE.

Values from the calculation:
Its uncorrected formation energy is -0.9496 eV/atom.

Unit cell a=7.1215 b=7.1251 c=7.2885 alpha=61.28 beta=66.27 gamma=87.01
Closest atoms and distances in Å follow each position.
Space group P-1 (No. 2)
Asymmetric unit:
Y: 0.0000 0.0000 0.0000 (multiplicity 1)  6 Br 2.73-2.92
Hg: 0.5000 0.5000 0.0000 (multiplicity 1)  2 Br 2.55
Br: 0.0482 0.1726 0.5413 (multiplicity 2)  1 Y 2.82, 1 Br 2.97
Br: 0.2312 0.3951 0.8099 (multiplicity 2)  1 Y 2.73
Br: 0.4105 0.8809 0.8547 (multiplicity 2)  1 Hg 2.55

(2)
This record from Alexandria describes a geometry-optimized YHgBr3 structure. The functional is PBE.

Values from the calculation:
Its distance to the lowest polymorph of the same formula is 0 meV/atom. Its uncorrected formation energy is -1.4450 eV/atom.

Unit cell a=13.1406 b=7.5868 c=9.5467 alpha=90.00 beta=107.61 gamma=90.00
Closest atoms and distances in Å follow each position.
Space group C2/m (No. 12)
Asymmetric unit:
Y: 0.1666 0.0000 0.0004 (multiplicity 4)  6 Br 2.83
Hg: 0.0913 0.5000 0.3994 (multiplicity 4)  1 Hg 3.50
Br: 0.0432 0.0000 0.1971 (multiplicity 4)  2 Y 2.83
Br: 0.2067 0.2499 0.8032 (multiplicity 8)  2 Y 2.83

(3)
This record from Alexandria describes a geometry-optimized Zn5Hg12Br3 structure. The functional is PBE.

Values from the calculation:
Its uncorrected formation energy is -0.0254 eV/atom.

Unit cell a=17.1672 b=17.1672 c=17.1672 alpha=90.00 beta=90.00 gamma=90.00
Closest atoms and distances in Å follow each position.
Space group Ia-3d (No. 230)
Asymmetric unit:
Zn: 0.0000 0.0000 0.0000 (multiplicity 16)  6 Hg 2.73
Zn: 0.0000 0.2500 0.3750 (multiplicity 24)  4 Hg 2.66
Hg: 0.0350 0.0640 0.6415 (multiplicity 96)  2 Zn 2.66-2.73
Br: 0.0000 0.2500 0.1250 (multiplicity 24)  8 Hg 3.26-3.50

(4)
This record from Alexandria describes a geometry-optimized Zn2HgBr structure. The functional is PBE.

Values from the calculation:
Its distance to the lowest polymorph of the same formula is 96 meV/atom. Its uncorrected formation energy is -0.0204 eV/atom.

Unit cell a=3.3739 b=3.5741 c=7.4808 alpha=90.00 beta=90.00 gamma=90.00
Closest atoms and distances in Å follow each position.
Space group Pmmm (No. 47)
Asymmetric unit:
Zn: 0.0000 0.0000 0.2215 (multiplicity 2)  2 Br 2.74, 4 Hg 2.96
Hg: 0.5000 0.5000 0.0000 (multiplicity 1)  8 Zn 2.96
Br: 0.0000 0.5000 0.5000 (multiplicity 1)  4 Zn 2.74

(5)
This record from Alexandria describes a geometry-optimized ZnHgBr structure. The functional is PBE.

Values from the calculation:
Its distance to the lowest polymorph of the same formula is 174 meV/atom. Its uncorrected formation energy is -0.1384 eV/atom.

Unit cell a=3.8820 b=6.5335 c=12.7407 alpha=90.00 beta=90.00 gamma=90.00
Closest atoms and distances in Å follow each position.
Space group Fmm2 (No. 42)
Asymmetric unit:
Zn: 0.0000 0.0000 0.0000 (multiplicity 4)  2 Br 2.61, 2 Hg 2.72
Hg: 0.0000 0.0000 0.6497 (multiplicity 4)  2 Zn 2.72
Br: 0.0000 0.0000 0.3631 (multiplicity 4)  2 Zn 2.61

(6)
This record from Alexandria describes a geometry-optimized ZnHgBr structure. The functional is PBE.

Values from the calculation:
Its distance to the lowest polymorph of the same formula is 33 meV/atom. Its uncorrected formation energy is -0.2795 eV/atom.

Unit cell a=3.9064 b=6.0336 c=6.8141 alpha=90.00 beta=90.03 gamma=90.00
Closest atoms and distances in Å follow each position.
Space group P2_1 (No. 4)
Asymmetric unit:
Zn: 0.2478 0.0000 0.2325 (multiplicity 2)  3 Br 2.60-2.76, 3 Hg 2.75-2.81
Hg: 0.2515 0.2552 0.5667 (multiplicity 2)  3 Zn 2.75-2.81
Br: 0.2503 0.7844 0.9029 (multiplicity 2)  3 Zn 2.60-2.76

(7)
This record from Alexandria describes a geometry-optimized Zn2HgBr structure. The functional is PBE.

Values from the calculation:
Its distance to the lowest polymorph of the same formula is 0 meV/atom. Its uncorrected formation energy is -0.1162 eV/atom.

Unit cell a=3.6946 b=3.6946 c=24.1549 alpha=90.00 beta=90.00 gamma=120.00
Closest atoms and distances in Å follow each position.
Space group R3m (No. 160, hexagonal axes)
Asymmetric unit:
Zn: 0.0000 0.0000 0.0000 (multiplicity 3)  3 Zn 2.66, 3 Br 2.70
Zn: 0.0000 0.0000 0.2676 (multiplicity 3)  3 Zn 2.66, 3 Hg 2.90
Hg: 0.0000 0.0000 0.5193 (multiplicity 3)  3 Zn 2.90
Br: 0.0000 0.0000 0.7353 (multiplicity 3)  3 Zn 2.70

(8)
This record from Alexandria describes a geometry-optimized ZnHg4Br2 structure. The functional is PBE.

Values from the calculation:
Its uncorrected formation energy is -0.2222 eV/atom.

Unit cell a=5.5595 b=5.5595 c=15.3860 alpha=90.00 beta=90.00 gamma=90.00
Closest atoms and distances in Å follow each position.
Space group I4/mmm (No. 139)
Asymmetric unit:
Zn: 0.0000 0.0000 0.0000 (multiplicity 2)  6 Hg 2.52-2.78
Hg: 0.0000 0.0000 0.1638 (multiplicity 4)  1 Zn 2.52, 1 Br 2.61
Hg: 0.0000 0.5000 0.0000 (multiplicity 4)  2 Zn 2.78
Br: 0.0000 0.0000 0.3336 (multiplicity 4)  1 Hg 2.61

(9)
This record from Alexandria describes a geometry-optimized Zn2HgBr structure. The functional is PBE.

Values from the calculation:
Its distance to the lowest polymorph of the same formula is 235 meV/atom. Its uncorrected formation energy is 0.1191 eV/atom.

Unit cell a=6.5642 b=7.7209 c=3.5878 alpha=90.00 beta=90.00 gamma=90.00
Closest atoms and distances in Å follow each position.
Space group Cmmm (No. 65)
Asymmetric unit:
Zn: 0.2500 0.2500 0.0000 (multiplicity 4)  4 Hg 3.10, 4 Br 3.10, 2 Zn 3.28
Hg: 0.0000 0.0000 0.5000 (multiplicity 2)  8 Zn 3.10, 2 Br 3.28
Br: 0.0000 0.5000 0.5000 (multiplicity 2)  8 Zn 3.10, 2 Hg 3.28

(10)
This record from Alexandria describes a geometry-optimized Zn2HgBr structure. The functional is PBE.

Values from the calculation:
Its distance to the lowest polymorph of the same formula is 41 meV/atom. Its uncorrected formation energy is -0.0756 eV/atom.

Unit cell a=3.7243 b=3.7243 c=22.5945 alpha=90.00 beta=90.00 gamma=120.00
Closest atoms and distances in Å follow each position.
Space group R-3m (No. 166, hexagonal axes)
Asymmetric unit:
Zn: 0.0000 0.0000 0.2466 (multiplicity 6)  3 Hg 2.81, 3 Br 2.91
Hg: 0.0000 0.0000 0.5000 (multiplicity 3)  6 Zn 2.81
Br: 0.0000 0.0000 0.0000 (multiplicity 3)  6 Zn 2.91

(11)
This record from Alexandria describes a geometry-optimized Zn2HgBr structure. The functional is PBE.

Values from the calculation:
Its distance to the lowest polymorph of the same formula is 340 meV/atom. Its uncorrected formation energy is 0.2236 eV/atom.

Unit cell a=7.3397 b=7.3397 c=7.3397 alpha=90.00 beta=90.00 gamma=90.00
Closest atoms and distances in Å follow each position.
Space group F-43m (No. 216)
Asymmetric unit:
Zn: 0.0000 0.0000 0.0000 (multiplicity 4)  4 Hg 3.18, 4 Zn 3.18
Zn: 0.2500 0.2500 0.2500 (multiplicity 4)  4 Br 3.18, 4 Zn 3.18
Hg: 0.2500 0.2500 0.7500 (multiplicity 4)  4 Br 3.18, 4 Zn 3.18
Br: 0.0000 0.0000 0.5000 (multiplicity 4)  4 Hg 3.18, 4 Zn 3.18

(12)
This record from Alexandria describes a geometry-optimized Zn2Hg2Br structure. The functional is PBE.

Values from the calculation:
Its distance to the lowest polymorph of the same formula is 61 meV/atom. Its uncorrected formation energy is 0.0671 eV/atom.

Unit cell a=8.1923 b=8.1923 c=3.5130 alpha=90.00 beta=90.00 gamma=90.00
Closest atoms and distances in Å follow each position.
Space group P4/mbm (No. 127)
Asymmetric unit:
Zn: 0.1775 0.3225 0.0000 (multiplicity 4)  6 Hg 2.83-3.10
Hg: 0.1310 0.6310 0.5000 (multiplicity 4)  6 Zn 2.83-3.10, 1 Hg 3.04
Br: 0.0000 0.0000 0.5000 (multiplicity 2)  4 Hg 3.21, 8 Zn 3.49, 2 Br 3.51